No. 1
SrCa2MnMo | GGA-PBE | optimized geometry

Results
Energy of formation from the pure elements in eV per atom: 1.886
Size of the total moment in μB per atom: 1.253
Space group: P4/mmm (123)

a = 5.8234 Å, b = 4.8232 Å, c = 5.8234 Å
α = 90.00°, β = 90.00°, γ = 90.00°
With the nearest neighbours (Å) after each atom.
Element x y z (fractional)
Sr 0.0000 0.0000 0.0000  2 Mn 2.41
Mo 0.5000 0.5000 0.5000  8 Ca 3.78, 4 Mn 4.12
Mn 0.0000 0.5000 0.0000  2 Sr 2.41
Ca 0.0000 0.0000 0.5000  2 Sr 2.91
Ca 0.5000 0.0000 0.0000  2 Sr 2.91

=====

No. 2
Ca2MnTcMo | GGA-PBE | optimized geometry

Results
Energy of formation from the pure elements in eV per atom: 1.605
Size of the total moment in μB per atom: 0.694
Space group: P4/mmm (123)

a = 5.5362 Å, b = 5.5362 Å, c = 4.2472 Å
α = 90.00°, β = 90.00°, γ = 90.00°
With the nearest neighbours (Å) after each atom.
Element x y z (fractional)
Mo 0.0000 0.0000 0.0000  2 Mn 2.12
Mn 0.0000 0.0000 0.5000  2 Mo 2.12
Tc 0.5000 0.5000 0.5000  8 Ca 3.49
Ca 0.0000 0.5000 0.0000  2 Mo 2.77
Ca 0.5000 0.0000 0.0000  2 Mo 2.77

=====

No. 3
CaMnN3 | GGA-PBE | optimized geometry

Results
Raw formation energy in meV/atom: 81
Size of the total moment in μB per atom: 0.000
Space group: Pm-3m (221)

a = 3.7256 Å, b = 3.7256 Å, c = 3.7256 Å
α = 90.00°, β = 90.00°, γ = 90.00°
With the nearest neighbours (Å) after each atom.
Element x y z (fractional)
Ca 0.5000 0.5000 0.5000  12 N 2.63
Mn 0.0000 0.0000 0.0000  6 N 1.86
N 0.0000 0.5000 0.0000  2 Mn 1.86
N 0.0000 0.0000 0.5000  2 Mn 1.86
N 0.5000 0.0000 0.0000  2 Mn 1.86

=====

No. 4
CaMn2N3 | GGA-PBE | optimized geometry

Results
Raw formation energy in meV/atom: -464
Size of the total moment in μB per atom: 0.001
Space group: C2/m (12)

a = 3.2106 Å, b = 5.6762 Å, c = 8.9207 Å
α = 112.62°, β = 100.37°, γ = 90.00°
With the nearest neighbours (Å) after each atom.
Element x y z (fractional)
Ca 0.3585 0.1662 0.7170  4 N 2.33-2.55
Ca 0.6415 0.8338 0.2830  4 N 2.33-2.55
Mn 0.3030 0.6108 0.6060  4 N 1.81-1.92
Mn 0.6970 0.3892 0.3940  4 N 1.81-1.92
Mn 0.9421 0.7963 0.8842  4 N 1.80-1.84
Mn 0.0579 0.2037 0.1158  4 N 1.80-1.84
N 0.2284 0.2637 0.4568  3 Mn 1.89-1.92
N 0.0520 0.8805 0.1039  2 Mn 1.80
N 0.4085 0.6292 0.8169  3 Mn 1.81-1.84
N 0.7716 0.7363 0.5432  3 Mn 1.89-1.92
N 0.5915 0.3708 0.1831  3 Mn 1.81-1.84
N 0.9480 0.1195 0.8961  2 Mn 1.80

=====

No. 5
Ca4MnN4 | GGA-PBE | optimized geometry

Results
Energy relative to the lowest polymorph listed for this composition in eV per atom: 0.1320
Raw formation energy in meV/atom: -687
Size of the total moment in μB per atom: 0.333
Space group: P4_2/nmc (137)

a = 5.5001 Å, b = 6.9643 Å, c = 6.9643 Å
α = 90.00°, β = 90.00°, γ = 90.00°
With the nearest neighbours (Å) after each atom.
Element x y z (fractional)
Ca 0.3494 0.2780 0.0000  5 N 2.50-2.59, 1 Mn 2.73
Ca 0.8494 0.5000 0.7780  5 N 2.50-2.59, 1 Mn 2.73
Ca 0.3494 0.7220 0.0000  5 N 2.50-2.59, 1 Mn 2.73
Ca 0.1506 0.2220 0.5000  5 N 2.50-2.59, 1 Mn 2.73
Ca 0.6506 0.0000 0.7220  5 N 2.50-2.59, 1 Mn 2.73
Ca 0.1506 0.7780 0.5000  5 N 2.50-2.59, 1 Mn 2.73
Ca 0.8494 0.5000 0.2220  5 N 2.50-2.59, 1 Mn 2.73
Ca 0.6506 0.0000 0.2780  5 N 2.50-2.59, 1 Mn 2.73
Mn 0.0000 0.0000 0.0000  4 N 1.89
Mn 0.5000 0.5000 0.5000  4 N 1.89
N 0.7031 0.7183 0.5000  1 Mn 1.89
N 0.7031 0.2817 0.5000  1 Mn 1.89
N 0.2031 0.0000 0.7817  1 Mn 1.89
N 0.7969 0.2183 0.0000  1 Mn 1.89
N 0.7969 0.7817 0.0000  1 Mn 1.89
N 0.2969 0.5000 0.2817  1 Mn 1.89
N 0.2969 0.5000 0.7183  1 Mn 1.89
N 0.2031 0.0000 0.2183  1 Mn 1.89

=====

No. 6
Ca3Mn2N4 | GGA-PBE | optimized geometry

Results
Energy relative to the lowest polymorph listed for this composition in eV per atom: 0.0466
Raw formation energy in meV/atom: -726
Size of the total moment in μB per atom: 0.153
Space group: C2/m (12)

a = 3.3339 Å, b = 5.7818 Å, c = 8.7117 Å
α = 128.89°, β = 90.00°, γ = 106.76°
With the nearest neighbours (Å) after each atom.
Element x y z (fractional)
Ca 0.8364 0.6728 0.2288  5 N 2.38-2.64
Ca 0.1636 0.3272 0.7712  5 N 2.38-2.64
Ca 0.0000 0.0000 0.0000  6 N 2.37-2.45
Mn 0.6536 0.3072 0.3743  4 N 1.83-1.99
Mn 0.3464 0.6928 0.6257  4 N 1.83-1.99
N 0.7640 0.5281 0.6526  3 Mn 1.87-1.99
N 0.2360 0.4719 0.3474  3 Mn 1.87-1.99
N 0.4400 0.8801 0.1482  1 Mn 1.83
N 0.5600 0.1199 0.8518  1 Mn 1.83

=====

No. 7
CaMn2N2 | GGA-PBE | optimized geometry

Results
Raw formation energy in meV/atom: -109
Size of the total moment in μB per atom: 0.000
Space group: P-4m2 (115)

a = 3.2598 Å, b = 3.2598 Å, c = 6.7825 Å
α = 90.00°, β = 90.00°, γ = 90.00°
With the nearest neighbours (Å) after each atom.
Element x y z (fractional)
Ca 0.5000 0.5000 0.0000  4 N 2.32
Mn 0.0000 0.0000 0.6474  2 N 1.79, 1 Mn 2.00
Mn 0.0000 0.0000 0.3526  2 N 1.79, 1 Mn 2.00
N 0.0000 0.5000 0.2444  2 Mn 1.79
N 0.5000 0.0000 0.7556  2 Mn 1.79

=====

No. 8
CaMn3N | GGA-PBE | optimized geometry

Results
Energy relative to the lowest polymorph listed for this composition in eV per atom: 0.0000
Raw formation energy in meV/atom: 170
Size of the total moment in μB per atom: 1.611
Space group: Pm-3m (221)

a = 4.0813 Å, b = 4.0813 Å, c = 4.0813 Å
α = 90.00°, β = 90.00°, γ = 90.00°
With the nearest neighbours (Å) after each atom.
Element x y z (fractional)
Ca 0.5000 0.5000 0.5000  12 Mn 2.89
Mn 0.0000 0.5000 0.0000  2 N 2.04
Mn 0.0000 0.0000 0.5000  2 N 2.04
Mn 0.5000 0.0000 0.0000  2 N 2.04
N 0.0000 0.0000 0.0000  6 Mn 2.04

=====

No. 9
CaMnN3 | GGA-PBE | optimized geometry

Results
Raw formation energy in meV/atom: 2681
Size of the total moment in μB per atom: 0.016
Space group: Pm-3m (221)

a = 4.1046 Å, b = 4.1046 Å, c = 4.1046 Å
α = 90.00°, β = 90.00°, γ = 90.00°
With the nearest neighbours (Å) after each atom.
Element x y z (fractional)
Ca 0.0000 0.0000 0.0000  6 N 2.05
Mn 0.5000 0.5000 0.5000  12 N 2.90
N 0.0000 0.5000 0.0000  2 Ca 2.05
N 0.0000 0.0000 0.5000  2 Ca 2.05
N 0.5000 0.0000 0.0000  2 Ca 2.05

=====

Per-record electronic total energy, eV/cell: -16.25 -26.35 -35.74 -96.20 -113.32 -64.18 -37.54 -36.99 -22.74
Per-record Fermi-level density of states, states/eV/f.u.: 2.99 6.31 3.72 3.42 2.52 3.37 2.51 4.80 6.54